1.
The following is a PBE-GGA calculation of an optimized crystal structure of SrNbNiP2, from Alexandria.

Properties
total magnetization = 0.0 μB/f.u.
crystal system = tetragonal
E_form = -0.824 eV per atom

abc: 6.830 6.830 6.830
angles: 146.33 146.33 48.36
Element x y z (fractional)
Sr 0.000 0.000 0.000
Nb 0.250 0.750 0.500
Ni 0.750 0.250 0.500
P 0.362 0.362 0.000
P 0.638 0.638 0.000



2.
The following is a PBE-GGA calculation of an optimized crystal structure of Rb2AgH4, from Alexandria.

Properties
total magnetization = 0.0 μB/f.u.
crystal system = monoclinic

abc: 5.180 5.884 9.691
angles: 90.00 94.45 90.00
Element x y z (fractional)
Rb 0.239 0.250 0.107
Rb 0.251 0.750 0.518
Rb 0.749 0.250 0.482
Rb 0.761 0.750 0.893
Ag 0.336 0.250 0.754
Ag 0.664 0.750 0.246
H 0.249 0.250 0.571
H 0.279 0.540 0.778
H 0.279 0.960 0.778
H 0.411 0.750 0.117
H 0.589 0.250 0.883
H 0.721 0.040 0.222
H 0.721 0.460 0.222
H 0.751 0.750 0.429



Number 1: V 19.51 Å³/atom, energy -32.47 eV for the cell shown. Number 2: V 21.03 Å³/atom, energy -35.82 eV for the cell shown.